[1]
# CrCoAu3

CrCoAu3 at its PBEsol-relaxed geometry (meta-GGA SCAN, the Alexandria database).

abc: 4.6476 4.6476 4.6476
angles: 90.00 90.00 90.00
Site moments in Bohr magnetons follow the coordinates.
Sites, in units of the cell vectors:
Co 0.0000 0.0000 0.0000  2.06
Au 0.0000 0.5000 0.0000  0.06
Au 0.0000 0.0000 0.5000  0.06
Au 0.5000 0.0000 0.0000  0.06
Cr 0.5000 0.5000 0.5000  4.14

For the total DFT energy (no corrections), the calculation gives -47.9384 eV/atom. Its density of states at the Fermi level is 3.8 states/eV/f.u. The value obtained for the spin magnetization is 6.81 μB per formula unit.


[2]
# La2AlSi

La2AlSi at its PBEsol-relaxed geometry (meta-GGA SCAN, the Alexandria database).

abc: 4.0809 4.4913 6.1623
angles: 111.37 90.00 90.00
Site moments in Bohr magnetons follow the coordinates.
Sites, in units of the cell vectors:
Si 0.0000 0.8178 0.6355  -0.02
Al 0.5000 0.6851 0.3702  -0.01
La 0.0000 0.1033 0.2066  0.13
La 0.5000 0.3921 0.7841  0.12

Its raw formation energy is -0.651 eV per atom. Its density of states at the Fermi level is 3.0 states/eV/f.u. The value obtained for the spin magnetization is 0.69 μB per formula unit.


[3]
# ZrPtO2F

ZrPtO2F at its PBEsol-relaxed geometry (meta-GGA SCAN, the Alexandria database).

abc: 3.9427 3.9427 4.2792
angles: 90.00 90.00 90.00
Site moments in Bohr magnetons follow the coordinates.
Sites, in units of the cell vectors:
O 0.0000 0.5000 0.0000  -0.01
O 0.5000 0.0000 0.0000  -0.01
Zr 0.5000 0.5000 0.5000  1.15
Pt 0.0000 0.0000 0.0000  -0.06
F 0.0000 0.0000 0.5000  0.03

Its raw formation energy is -0.683 eV per atom. Its density of states at the Fermi level is 2.5 states/eV/f.u. The value obtained for the spin magnetization is 1.48 μB per formula unit.


[4]
# ZnCuNi2

ZnCuNi2 at its PBEsol-relaxed geometry (meta-GGA SCAN, the Alexandria database).

abc: 2.6972 4.0594 4.7467
angles: 115.32 106.51 90.00
Sites, in units of the cell vectors:
Ni 0.9982 0.9982 0.9963
Ni 0.2511 0.7511 0.5022
Zn 0.5018 0.5018 0.0035
Cu 0.7490 0.2490 0.4980

For the total DFT energy (no corrections), the calculation gives -15.2859 eV/atom. Its density of states at the Fermi level is 3.2 states/eV/f.u. The value obtained for the spin magnetization is 0.00 μB per formula unit.


[5]
# Rb2LiSbF6

Rb2LiSbF6 at its PBEsol-relaxed geometry (meta-GGA SCAN, the Alexandria database).

abc: 6.0460 6.0460 6.0460
angles: 60.00 60.00 60.00
Sites, in units of the cell vectors:
Sb 0.0000 0.0000 0.0000
Li 0.5000 0.5000 0.5000
Rb 0.7500 0.7500 0.7500
Rb 0.2500 0.2500 0.2500
F 0.7440 0.2560 0.2560
F 0.7440 0.7440 0.2560
F 0.2560 0.7440 0.7440
F 0.7440 0.2560 0.7440
F 0.2560 0.7440 0.2560
F 0.2560 0.2560 0.7440

Its raw formation energy is -2.763 eV per atom. Its density of states at the Fermi level is 0.0 states/eV/f.u. The value obtained for the spin magnetization is 0.00 μB per formula unit.


[6]
# TaGa2Os

TaGa2Os at its PBEsol-relaxed geometry (meta-GGA SCAN, the Alexandria database).

abc: 4.3725 4.3725 4.3725
angles: 60.00 60.00 60.00
Site moments in Bohr magnetons follow the coordinates.
Sites, in units of the cell vectors:
Os 0.5000 0.5000 0.5000  0.00
Ga 0.2500 0.2500 0.2500  0.03
Ga 0.7500 0.7500 0.7500  0.03
Ta 0.0000 0.0000 0.0000  0.57

For the total DFT energy (no corrections), the calculation gives -42.7079 eV/atom. Its density of states at the Fermi level is 3.2 states/eV/f.u. The value obtained for the spin magnetization is 0.82 μB per formula unit.


[7]
# Ag2Te3

Ag2Te3 at its PBEsol-relaxed geometry (meta-GGA SCAN, the Alexandria database).

abc: 4.1372 4.1372 8.6630
angles: 76.19 76.19 60.00
Sites, in units of the cell vectors:
Te 0.0000 0.0000 0.0000
Te 0.2084 0.2084 0.3749
Te 0.7916 0.7916 0.6251
Ag 0.6017 0.6017 0.1950
Ag 0.3983 0.3983 0.8050

Its raw formation energy is 0.002 eV per atom. Its density of states at the Fermi level is 2.6 states/eV/f.u. The value obtained for the spin magnetization is 0.00 μB per formula unit.


[8]
# Sc2MoW

Sc2MoW at its PBEsol-relaxed geometry (meta-GGA SCAN, the Alexandria database).

abc: 4.6271 4.6271 4.6271
angles: 60.00 60.00 60.00
Sites, in units of the cell vectors:
Mo 0.0000 0.0000 0.0000
Sc 0.2500 0.2500 0.2500
Sc 0.7500 0.7500 0.7500
W 0.5000 0.5000 0.5000

Its energy above the lowest structure with this stoichiometry is 0.5313 eV per atom. Its density of states at the Fermi level is 6.5 states/eV/f.u. The value obtained for the spin magnetization is 0.00 μB per formula unit.


[9]
# Sr2SeCl

Sr2SeCl at its PBEsol-relaxed geometry (meta-GGA SCAN, the Alexandria database).

abc: 5.3433 5.3433 5.3433
angles: 60.00 60.00 60.00
Site moments in Bohr magnetons follow the coordinates.
Sites, in units of the cell vectors:
Sr 0.0000 0.0000 0.0000  0.14
Sr 0.7500 0.7500 0.7500  0.14
Se 0.2500 0.2500 0.2500  -0.03
Cl 0.5000 0.5000 0.5000  0.01

Its energy above the lowest structure with this stoichiometry is 1.0404 eV per atom. Its raw formation energy is -0.969 eV per atom. Its density of states at the Fermi level is 3.0 states/eV/f.u. The value obtained for the spin magnetization is 0.71 μB per formula unit.


[10]
# Li4Ti3Mn3Nb2O16

Li4Ti3Mn3Nb2O16 at its PBEsol-relaxed geometry (meta-GGA SCAN, the Alexandria database).

abc: 5.9139 5.9721 9.7339
angles: 90.96 90.00 119.68
Site moments in Bohr magnetons follow the coordinates.
Sites, in units of the cell vectors:
Li 0.3408 0.6815 0.0957  0.00
Li 0.9996 0.9993 0.0127  0.00
Li 0.9943 0.9886 0.5069  0.00
Li 0.6683 0.3367 0.5946  0.00
Ti 0.8270 0.6539 0.2712  0.15
Ti 0.6574 0.8178 0.7816  0.18
Ti 0.1604 0.8178 0.7816  0.18
Mn 0.1673 0.3347 0.7890  4.34
Mn 0.8298 0.1689 0.2925  4.27
Mn 0.3391 0.1689 0.2925  4.27
Nb 0.3317 0.6634 0.5052  0.28
Nb 0.6582 0.3164 0.0105  0.31
O 0.6606 0.8185 0.4077  0.03
O 0.4808 0.9615 0.6637  0.00
O 0.3421 0.6842 0.8923  0.03
O 0.9951 0.9902 0.6932  0.02
O 0.9976 0.9952 0.1998  0.03
O 0.1579 0.8185 0.4077  0.03
O 0.4937 0.5304 0.6601  0.03
O 0.0366 0.5304 0.6601  0.03
O 0.8355 0.6710 0.8972  0.00
O 0.1637 0.3273 0.4190  0.01
O 0.9713 0.5057 0.1509  0.04
O 0.5344 0.5057 0.1509  0.04
O 0.6782 0.3564 0.3903  0.04
O 0.8254 0.1540 0.9071  0.02
O 0.5247 0.0494 0.1512  0.04
O 0.3286 0.1540 0.9071  0.02

Its raw formation energy is -2.701 eV per atom. Its density of states at the Fermi level is 3.9 states/eV/f.u. The value obtained for the spin magnetization is 14.99 μB per formula unit.


[11]
# La2CoNiO6

La2CoNiO6 at its PBEsol-relaxed geometry (meta-GGA SCAN, the Alexandria database).

abc: 5.3194 5.3194 5.3194
angles: 61.29 61.29 61.29
Site moments in Bohr magnetons follow the coordinates.
Sites, in units of the cell vectors:
Ni 0.0000 0.0000 0.0000  0.88
Co 0.5000 0.5000 0.5000  0.26
O 0.6918 0.8036 0.2534  -0.02
O 0.1964 0.7466 0.3082  -0.02
O 0.2534 0.6918 0.8036  -0.02
O 0.3082 0.1964 0.7466  -0.02
O 0.7466 0.3082 0.1964  -0.02
O 0.8036 0.2534 0.6918  -0.02
La 0.7499 0.7499 0.7499  0.01
La 0.2501 0.2501 0.2501  0.01

Its raw formation energy is -2.608 eV per atom. Its density of states at the Fermi level is 5.2 states/eV/f.u. The value obtained for the spin magnetization is 1.01 μB per formula unit.


[12]
# Li2YSi2

Li2YSi2 at its PBEsol-relaxed geometry (meta-GGA SCAN, the Alexandria database).

abc: 2.7909 7.6345 7.6345
angles: 90.00 90.00 90.00
Sites, in units of the cell vectors:
Y 0.0000 0.0000 0.0000
Y 0.0000 0.5000 0.5000
Si 0.5000 0.1795 0.6795
Si 0.5000 0.6795 0.8205
Si 0.5000 0.8205 0.3205
Si 0.5000 0.3205 0.1795
Li 0.0000 0.3863 0.8863
Li 0.0000 0.8863 0.6137
Li 0.0000 0.6137 0.1137
Li 0.0000 0.1137 0.3863

Its energy above the lowest structure with this stoichiometry is 0.2612 eV per atom. Its raw formation energy is -0.255 eV per atom. Its density of states at the Fermi level is 1.7 states/eV/f.u. The value obtained for the spin magnetization is 0.00 μB per formula unit.


[13]
# CaCuMo2

CaCuMo2 at its PBEsol-relaxed geometry (meta-GGA SCAN, the Alexandria database).

abc: 2.6217 5.1592 5.6200
angles: 114.65 98.67 100.36
Sites, in units of the cell vectors:
Ca 0.5000 0.0000 0.0000
Cu 0.0000 0.5000 0.0000
Mo 0.0000 0.0000 0.5000
Mo 0.5000 0.5000 0.5000

Its energy above the lowest structure with this stoichiometry is 0.1232 eV per atom. Its density of states at the Fermi level is 3.5 states/eV/f.u. The value obtained for the spin magnetization is 0.00 μB per formula unit.


[14]
# LiY2Tc

LiY2Tc at its PBEsol-relaxed geometry (meta-GGA SCAN, the Alexandria database).

abc: 3.1061 3.1061 9.7503
angles: 90.00 90.00 110.33
Sites, in units of the cell vectors:
Li 0.0000 0.0000 0.4547
Tc 0.5000 0.5000 0.2580
Y 0.0000 0.0000 0.0548
Y 0.5000 0.5000 0.7324

For the total DFT energy (no corrections), the calculation gives -22.8305 eV/atom. Its density of states at the Fermi level is 3.2 states/eV/f.u. The value obtained for the spin magnetization is 0.00 μB per formula unit.


[15]
# KMg3GaSi3H2O12

KMg3GaSi3H2O12 at its PBEsol-relaxed geometry (meta-GGA SCAN, the Alexandria database).

abc: 5.3151 5.3162 10.5896
angles: 80.35 85.29 60.01
Sites, in units of the cell vectors:
K 0.0011 0.0041 0.9830
Mg 0.6651 0.1638 0.5054
Mg 0.3342 0.8297 0.5039
Mg 0.9996 0.5030 0.5044
Ga 0.3340 0.4095 0.7673
Si 0.6667 0.7417 0.7711
Si 0.6693 0.5874 0.2371
Si 0.3359 0.2519 0.2373
H 0.0025 0.1072 0.6894
H 0.9807 0.9079 0.3045
O 0.0008 0.1360 0.5960
O 0.9936 0.8720 0.3972
O 0.9777 0.4630 0.8270
O 0.0026 0.4481 0.1778
O 0.3345 0.4679 0.5938
O 0.6655 0.7957 0.6118
O 0.6700 0.5394 0.3909
O 0.3362 0.1972 0.3910
O 0.4079 0.6715 0.8278
O 0.6160 0.0329 0.8276
O 0.5115 0.4300 0.1792
O 0.4945 0.9400 0.1767

For the total DFT energy (no corrections), the calculation gives -9.5615 eV/atom. Its density of states at the Fermi level is 0.0 states/eV/f.u. The value obtained for the spin magnetization is 0.00 μB per formula unit.


[16]
# Zn2TcAg

Zn2TcAg at its PBEsol-relaxed geometry (meta-GGA SCAN, the Alexandria database).

abc: 2.7148 4.5320 5.3456
angles: 115.08 104.71 90.00
Sites, in units of the cell vectors:
Ag 0.4899 0.4899 0.9798
Tc 0.2596 0.7596 0.5193
Zn 0.0066 0.0066 0.0132
Zn 0.7438 0.2438 0.4877

Its energy above the lowest structure with this stoichiometry is 0.1033 eV per atom. Its density of states at the Fermi level is 1.6 states/eV/f.u. The value obtained for the spin magnetization is 0.00 μB per formula unit.


[17]
# ZrMnCu

ZrMnCu at its PBEsol-relaxed geometry (meta-GGA SCAN, the Alexandria database).

abc: 4.1511 4.1511 4.1511
angles: 60.00 60.00 60.00
Site moments in Bohr magnetons follow the coordinates.
Sites, in units of the cell vectors:
Cu 0.5000 0.5000 0.5000  0.18
Mn 0.7500 0.7500 0.7500  3.47
Zr 0.0000 0.0000 0.0000  0.19

For the total DFT energy (no corrections), the calculation gives -20.9243 eV/atom. Its density of states at the Fermi level is 3.6 states/eV/f.u. The value obtained for the spin magnetization is 3.99 μB per formula unit.


[18]
# SrHf3Tl

SrHf3Tl at its PBEsol-relaxed geometry (meta-GGA SCAN, the Alexandria database).

abc: 5.3759 5.3759 5.3759
angles: 90.00 90.00 90.00
Site moments in Bohr magnetons follow the coordinates.
Sites, in units of the cell vectors:
Sr 0.5000 0.5000 0.5000  0.06
Tl 0.0000 0.0000 0.0000  0.07
Hf 0.0000 0.5000 0.0000  0.42
Hf 0.0000 0.0000 0.5000  0.42
Hf 0.5000 0.0000 0.0000  0.42

For the total DFT energy (no corrections), the calculation gives -55.4491 eV/atom. Its density of states at the Fermi level is 6.0 states/eV/f.u. The value obtained for the spin magnetization is 2.40 μB per formula unit.


[19]
# NaMgNi2Au

NaMgNi2Au at its PBEsol-relaxed geometry (meta-GGA SCAN, the Alexandria database).

abc: 4.7519 4.7519 4.8688
angles: 90.00 90.00 90.00
Site moments in Bohr magnetons follow the coordinates.
Sites, in units of the cell vectors:
Ni 0.0000 0.5000 0.0000  0.96
Ni 0.5000 0.0000 0.0000  0.96
Mg 0.0000 0.0000 0.5000  0.00
Au 0.0000 0.0000 0.0000  0.02
Na 0.5000 0.5000 0.5000  0.00

For the total DFT energy (no corrections), the calculation gives -21.7050 eV/atom. Its density of states at the Fermi level is 3.2 states/eV/f.u. The value obtained for the spin magnetization is 1.76 μB per formula unit.


[20]
# PdAu2F8

PdAu2F8 at its PBEsol-relaxed geometry (meta-GGA SCAN, the Alexandria database).

abc: 5.2071 5.5257 10.9503
angles: 90.00 90.00 91.31
Site moments in Bohr magnetons follow the coordinates.
Sites, in units of the cell vectors:
Pd 0.0000 0.5000 0.5000  1.52
Pd 0.5000 0.0000 0.0000  1.52
Au 0.7401 0.9738 0.6878  0.04
Au 0.7599 0.5262 0.1878  0.04
Au 0.2401 0.4738 0.8122  0.04
Au 0.2599 0.0262 0.3122  0.04
F 0.2313 0.1916 0.4697  0.07
F 0.2687 0.3084 0.9697  0.07
F 0.7687 0.8084 0.5303  0.07
F 0.7313 0.6916 0.0303  0.07
F 0.2347 0.7866 0.8981  0.05
F 0.2653 0.7134 0.3981  0.05
F 0.7130 0.1373 0.8468  0.07
F 0.7870 0.3627 0.3468  0.07
F 0.2870 0.8627 0.1532  0.07
F 0.2130 0.6373 0.6532  0.07
F 0.7688 0.8298 0.2741  0.01
F 0.7312 0.6702 0.7741  0.01
F 0.2312 0.1702 0.7259  0.01
F 0.2688 0.3298 0.2259  0.01
F 0.7347 0.2866 0.6019  0.05
F 0.7653 0.2134 0.1019  0.05

Its raw formation energy is -1.231 eV per atom. The value obtained for the spin magnetization is 2.00 μB per formula unit.